(1)
VASP calculation (PBE) on a relaxed structure of NaTlZnBr4.

a = 7.194 Å, b = 7.540 Å, c = 8.859 Å
α = 90.00°, β = 107.00°, γ = 90.00°
Space group P2_1/m (No. 11)
Unique sites:
1 Na 0.230 0.250 0.058 [2 per cell]
2 Tl 0.240 0.250 0.560 [2 per cell]
3 Zn 0.233 0.750 0.821 [2 per cell]
4 Br 0.005 0.000 0.773 [4 per cell]
5 Br 0.427 0.750 0.638 [2 per cell]
6 Br 0.447 0.750 0.088 [2 per cell]



(2)
VASP calculation (PBE) on a relaxed structure of RbLiEr2Cl8.

a = 6.687 Å, b = 8.251 Å, c = 6.846 Å
α = 90.00°, β = 97.42°, γ = 90.00°
Space group P2/m (No. 10)
Unique sites:
1 Rb 0.000 0.000 0.000 [1 per cell]
2 Li 0.000 0.500 0.000 [1 per cell]
3 Er 0.500 0.260 0.500 [2 per cell]
4 Cl 0.231 0.290 0.196 [4 per cell]
5 Cl 0.305 0.500 0.657 [2 per cell]
6 Cl 0.316 0.000 0.644 [2 per cell]



(3)
VASP calculation (PBE) on a relaxed structure of LaIn2Se.

a = 3.7706 Å, b = 3.7706 Å, c = 27.8810 Å
α = 90.00°, β = 90.00°, γ = 120.00°
Space group R-3m (No. 166, hexagonal axes)
Unique sites:
1 La 0.0000 0.0000 0.0000 [3 per cell]
2 In 0.0000 0.0000 0.2354 [6 per cell]
3 Se 0.0000 0.0000 0.5000 [3 per cell]



(4)
VASP calculation (PBE) on a relaxed structure of Ga3SbSe.

a = 5.384 Å, b = 5.384 Å, c = 5.384 Å
α = 90.00°, β = 90.00°, γ = 90.00°
Space group Pm-3m (No. 221)
Unique sites:
1 Ga 0.000 0.000 0.500 [3 per cell]
2 Sb 0.000 0.000 0.000 [1 per cell]
3 Se 0.500 0.500 0.500 [1 per cell]



(5)
VASP calculation (PBE) on a relaxed structure of LiNb2PdN.

a = 4.234 Å, b = 4.234 Å, c = 3.929 Å
α = 90.00°, β = 90.00°, γ = 90.00°
Space group P4/mmm (No. 123)
Unique sites:
1 Li 0.000 0.000 0.000 [1 per cell]
2 Nb 0.000 0.500 0.500 [2 per cell]
3 Pd 0.500 0.500 0.000 [1 per cell]
4 N 0.000 0.000 0.500 [1 per cell]



(6)
VASP calculation (PBE) on a relaxed structure of Dy12Ru3N5.

a = 15.143 Å, b = 15.143 Å, c = 15.143 Å
α = 90.00°, β = 90.00°, γ = 90.00°
Space group Ia-3d (No. 230)
Unique sites:
1 Dy 0.029 0.054 0.652 [96 per cell]
2 Ru 0.000 0.250 0.125 [24 per cell]
3 N 0.000 0.000 0.000 [16 per cell]
4 N 0.000 0.250 0.375 [24 per cell]



(7)
VASP calculation (PBE) on a relaxed structure of HoPaN3.

a = 7.859 Å, b = 11.200 Å, c = 3.623 Å
α = 90.00°, β = 90.00°, γ = 90.00°
Space group Cmmm (No. 65)
Unique sites:
1 Ho 0.000 0.000 0.000 [2 per cell]
2 Ho 0.000 0.500 0.000 [2 per cell]
3 Pa 0.250 0.250 0.500 [4 per cell]
4 N 0.000 0.146 0.500 [4 per cell]
5 N 0.209 0.367 0.000 [8 per cell]



(8)
VASP calculation (PBE) on a relaxed structure of Mg2TlCl.

a = 3.441 Å, b = 6.143 Å, c = 9.482 Å
α = 90.00°, β = 90.00°, γ = 90.00°
Space group Cmmm (No. 65)
Unique sites:
1 Mg 0.000 0.000 0.225 [4 per cell]
2 Tl 0.000 0.500 0.500 [2 per cell]
3 Cl 0.000 0.500 0.000 [2 per cell]



Fermi-level density of states (states/eV per cell)
0.0; 0.0; 7.3; 1.5; 5.5; 100.9; 16.7; 2.1
Energy relative to the elements, uncorrected (eV/atom)
-1.067; -2.110; -0.354; 0.424; -0.471; -0.833; -1.142; -0.441